The following is a PBE-GGA calculation of a relaxed TlMo4Rh crystal, from Alexandria.

Cell: 5.2648 5.2648 5.2648 Å, 60.00 60.00 60.00°
With the nearest neighbours (Å) after each atom.
Fractional positions:
1 Tl 0.0000 0.0000 0.0000  12 Mo 3.09, 4 Rh 3.22
2 Mo 0.1232 0.6256 0.6256  6 Mo 2.62-2.64
3 Mo 0.6256 0.1232 0.6256  6 Mo 2.62-2.64
4 Mo 0.6256 0.6256 0.1232  6 Mo 2.62-2.64
5 Mo 0.6256 0.6256 0.6256  6 Mo 2.62-2.64
6 Rh 0.2500 0.2500 0.2500  12 Mo 3.09, 4 Tl 3.22

Values from the calculation:
* magnetic moment: 0.00 μB/f.u.
* E_form: 0.481 eV/atom
* space-group type: F-43m

---

The following is a PBE-GGA calculation of a relaxed Cu2RuN crystal, from Alexandria.

Cell: 7.0230 7.0230 3.9163 Å, 90.00 90.00 90.00°
With the nearest neighbours (Å) after each atom.
Fractional positions:
1 Cu 0.1560 0.2500 0.1250  2 N 2.13, 2 Cu 2.36
2 Cu 0.2500 0.6560 0.3750  2 N 2.13, 2 Cu 2.36
3 Cu 0.2500 0.8440 0.8750  2 N 2.13, 2 Cu 2.36
4 Cu 0.3440 0.2500 0.6250  2 N 2.13, 2 Cu 2.36
5 Cu 0.6560 0.7500 0.6250  2 N 2.13, 2 Cu 2.36
6 Cu 0.7500 0.1560 0.8750  2 N 2.13, 2 Cu 2.36
7 Cu 0.7500 0.3440 0.3750  2 N 2.13, 2 Cu 2.36
8 Cu 0.8440 0.7500 0.1250  2 N 2.13, 2 Cu 2.36
9 Ru 0.0000 0.0000 0.5000  2 N 1.96
10 Ru 0.0000 0.5000 0.7500  2 N 1.96
11 Ru 0.5000 0.0000 0.2500  2 N 1.96
12 Ru 0.5000 0.5000 0.0000  2 N 1.96
13 N 0.0000 0.0000 0.0000  2 Ru 1.96, 4 Cu 2.13
14 N 0.0000 0.5000 0.2500  2 Ru 1.96, 4 Cu 2.13
15 N 0.5000 0.0000 0.7500  2 Ru 1.96, 4 Cu 2.13
16 N 0.5000 0.5000 0.5000  2 Ru 1.96, 4 Cu 2.13

Values from the calculation:
* magnetic moment: 0.00 μB/f.u.
* energy relative to the elements, uncorrected: 0.596 eV per atom
* space-group type: I-42d

---

The following is a PBE-GGA calculation of a relaxed PuMgGaRh crystal, from Alexandria.

Cell: 6.7556 6.7556 6.7556 Å, 90.00 90.00 90.00°
With the nearest neighbours (Å) after each atom.
Fractional positions:
1 Pu 0.0000 0.0000 0.0000  4 Ga 2.93, 4 Rh 2.93
2 Pu 0.0000 0.5000 0.5000  4 Ga 2.93, 4 Rh 2.93
3 Pu 0.5000 0.0000 0.5000  4 Ga 2.93, 4 Rh 2.93
4 Pu 0.5000 0.5000 0.0000  4 Ga 2.93, 4 Rh 2.93
5 Mg 0.0000 0.0000 0.5000  4 Rh 2.93, 4 Ga 2.93
6 Mg 0.0000 0.5000 0.0000  4 Rh 2.93, 4 Ga 2.93
7 Mg 0.5000 0.0000 0.0000  4 Rh 2.93, 4 Ga 2.93
8 Mg 0.5000 0.5000 0.5000  4 Rh 2.93, 4 Ga 2.93
9 Ga 0.2500 0.2500 0.2500  4 Mg 2.93, 4 Pu 2.93
10 Ga 0.2500 0.7500 0.7500  4 Mg 2.93, 4 Pu 2.93
11 Ga 0.7500 0.2500 0.7500  4 Mg 2.93, 4 Pu 2.93
12 Ga 0.7500 0.7500 0.2500  4 Mg 2.93, 4 Pu 2.93
13 Rh 0.2500 0.2500 0.7500  4 Pu 2.93, 4 Mg 2.93
14 Rh 0.2500 0.7500 0.2500  4 Pu 2.93, 4 Mg 2.93
15 Rh 0.7500 0.2500 0.2500  4 Pu 2.93, 4 Mg 2.93
16 Rh 0.7500 0.7500 0.7500  4 Mg 2.93, 4 Pu 2.93

Values from the calculation:
* magnetic moment: 5.10 μB/f.u.
* E_form: -0.314 eV/atom
* space-group type: F-43m

---

The following is a PBE-GGA calculation of a relaxed CsP2RhO crystal, from Alexandria.

Cell: 5.3674 5.3674 4.1013 Å, 90.00 90.00 90.00°
With the nearest neighbours (Å) after each atom.
Fractional positions:
1 Cs 0.0000 0.0000 0.0000  2 O 2.05
2 P 0.0000 0.5000 0.0000  2 Cs 2.68
3 P 0.5000 0.0000 0.0000  2 Cs 2.68
4 Rh 0.5000 0.5000 0.5000  8 P 3.38
5 O 0.0000 0.0000 0.5000  2 Cs 2.05

Values from the calculation:
* magnetic moment: 0.36 μB/f.u.
* energy relative to the elements, uncorrected: 1.956 eV per atom
* space-group type: P4/mmm

---

The following is a PBE-GGA calculation of a relaxed TaInAsBr2 crystal, from Alexandria.

Cell: 5.2599 5.2599 5.4031 Å, 90.00 90.00 90.00°
With the nearest neighbours (Å) after each atom.
Fractional positions:
1 Ta 0.0000 0.0000 0.0000  4 As 3.72, 8 Br 3.77
2 In 0.5000 0.5000 0.5000  4 Br 2.63, 2 As 2.70
3 As 0.5000 0.5000 0.0000  2 In 2.70
4 Br 0.0000 0.5000 0.5000  2 In 2.63
5 Br 0.5000 0.0000 0.5000  2 In 2.63

Values from the calculation:
* magnetic moment: 2.64 μB/f.u.
* energy relative to the elements, uncorrected: 1.068 eV per atom
* E above lowest polymorph: 1158 meV per atom
* space-group type: P4/mmm

---

The following is a PBE-GGA calculation of a relaxed Tl2CuPtAu crystal, from Alexandria.

Cell: 5.0208 5.0208 4.8179 Å, 90.00 90.00 90.00°
With the nearest neighbours (Å) after each atom.
Fractional positions:
1 Tl 0.0000 0.5000 0.0000  2 Cu 2.51
2 Tl 0.5000 0.0000 0.0000  2 Cu 2.51
3 Cu 0.0000 0.0000 0.0000  2 Au 2.41, 4 Tl 2.51
4 Pt 0.5000 0.5000 0.5000  8 Tl 3.48, 4 Au 3.55
5 Au 0.0000 0.0000 0.5000  2 Cu 2.41

Values from the calculation:
* magnetic moment: 0.00 μB/f.u.
* E_form: 0.618 eV/atom
* space-group type: P4/mmm

---

The following is a PBE-GGA calculation of a relaxed TaAs2RuSe crystal, from Alexandria.

Cell: 4.6290 4.6290 4.9838 Å, 90.00 90.00 90.00°
With the nearest neighbours (Å) after each atom.
Fractional positions:
1 Ta 0.0000 0.0000 0.0000  4 Se 3.27, 8 As 3.40
2 As 0.0000 0.5000 0.5000  2 Ru 2.31
3 As 0.5000 0.0000 0.5000  2 Ru 2.31
4 Ru 0.5000 0.5000 0.5000  4 As 2.31, 2 Se 2.49
5 Se 0.5000 0.5000 0.0000  2 Ru 2.49

Values from the calculation:
* magnetic moment: 0.00 μB/f.u.
* energy relative to the elements, uncorrected: 0.987 eV per atom
* E above lowest polymorph: 83 meV per atom
* space-group type: P4/mmm

---

The following is a PBE-GGA calculation of a relaxed NbB3Rh crystal, from Alexandria.

Cell: 4.1514 4.1514 4.1514 Å, 90.00 90.00 90.00°
With the nearest neighbours (Å) after each atom.
Fractional positions:
1 Nb 0.0000 0.0000 0.0000  6 B 2.08
2 B 0.0000 0.0000 0.5000  2 Nb 2.08
3 B 0.0000 0.5000 0.0000  2 Nb 2.08
4 B 0.5000 0.0000 0.0000  2 Nb 2.08
5 Rh 0.5000 0.5000 0.5000  12 B 2.94

Values from the calculation:
* magnetic moment: 0.85 μB/f.u.
* E above lowest polymorph: 648 meV per atom
* E_form: 1.682 eV/atom
* space-group type: Pm-3m

---

The following is a PBE-GGA calculation of a relaxed VSnBr2 crystal, from Alexandria.

Cell: 3.5279 3.5279 30.3581 Å, 90.00 90.00 120.00°
With the nearest neighbours (Å) after each atom.
Fractional positions:
1 V 0.0000 0.0000 0.0000  2 Br 2.41
2 V 0.3333 0.6667 0.6667  2 Br 2.41
3 V 0.6667 0.3333 0.3333  2 Br 2.41
4 Sn 0.0000 0.0000 0.5000  6 Br 3.34, 6 Sn 3.53
5 Sn 0.3333 0.6667 0.1667  6 Br 3.34, 6 Sn 3.53
6 Sn 0.6667 0.3333 0.8333  6 Br 3.34, 6 Sn 3.53
7 Br 0.0000 0.0000 0.0794  1 V 2.41
8 Br 0.0000 0.0000 0.9206  1 V 2.41
9 Br 0.3333 0.6667 0.5872  1 V 2.41
10 Br 0.3333 0.6667 0.7461  1 V 2.41
11 Br 0.6667 0.3333 0.2539  1 V 2.41
12 Br 0.6667 0.3333 0.4128  1 V 2.41

Values from the calculation:
* magnetic moment: 3.22 μB/f.u.
* energy relative to the elements, uncorrected: 0.083 eV per atom
* E above lowest polymorph: 424 meV per atom
* space-group type: R-3m

---

The following is a PBE-GGA calculation of a relaxed VReRu2Au crystal, from Alexandria.

Cell: 4.6687 4.6687 4.5265 Å, 90.00 90.00 90.00°
With the nearest neighbours (Å) after each atom.
Fractional positions:
1 V 0.0000 0.0000 0.0000  2 Re 2.26
2 Re 0.0000 0.0000 0.5000  2 V 2.26, 4 Ru 2.33
3 Ru 0.0000 0.5000 0.5000  2 Re 2.33
4 Ru 0.5000 0.0000 0.5000  2 Re 2.33
5 Au 0.5000 0.5000 0.0000  8 Ru 3.25, 4 V 3.30

Values from the calculation:
* magnetic moment: 0.00 μB/f.u.
* E_form: 1.431 eV/atom
* space-group type: P4/mmm

---

The following is a PBE-GGA calculation of a relaxed Sr2NiHg2H4 crystal, from Alexandria.

Cell: 5.9755 5.9755 5.9755 Å, 117.35 117.35 94.65°
With the nearest neighbours (Å) after each atom.
Fractional positions:
1 Sr 0.2500 0.7500 0.5000  8 H 3.04, 4 Hg 3.17
2 Sr 0.7500 0.2500 0.5000  8 H 3.04, 4 Hg 3.17
3 Ni 0.0000 0.0000 0.0000  4 H 1.62
4 Hg 0.3306 0.3306 0.0000  1 Ni 2.68, 1 Hg 2.74
5 Hg 0.6694 0.6694 0.0000  1 Ni 2.68, 1 Hg 2.74
6 H 0.1846 0.1846 0.3692  1 Ni 1.62
7 H 0.1846 0.8154 0.0000  1 Ni 1.62
8 H 0.8154 0.1846 0.0000  1 Ni 1.62
9 H 0.8154 0.8154 0.6308  1 Ni 1.62

Values from the calculation:
* energy: -2.7375 eV/atom
* magnetic moment: 0.00 μB/f.u.
* space-group type: I4/mmm

---

The following is a PBE-GGA calculation of a relaxed TcCl2F crystal, from Alexandria.

Cell: 3.4433 3.4433 22.2502 Å, 90.00 90.00 120.00°
With the nearest neighbours (Å) after each atom.
Fractional positions:
1 Tc 0.0000 0.0000 0.0000  6 Cl 2.44
2 Tc 0.3333 0.6667 0.6667  6 Cl 2.44
3 Tc 0.6667 0.3333 0.3333  6 Cl 2.44
4 Cl 0.0000 0.0000 0.3971  1 F 2.29, 3 Tc 2.44
5 Cl 0.0000 0.0000 0.6029  1 F 2.29, 3 Tc 2.44
6 Cl 0.3333 0.6667 0.0637  1 F 2.29, 3 Tc 2.44
7 Cl 0.3333 0.6667 0.2696  1 F 2.29, 3 Tc 2.44
8 Cl 0.6667 0.3333 0.7304  1 F 2.29, 3 Tc 2.44
9 Cl 0.6667 0.3333 0.9363  1 F 2.29, 3 Tc 2.44
10 F 0.0000 0.0000 0.5000  2 Cl 2.29
11 F 0.3333 0.6667 0.1667  2 Cl 2.29
12 F 0.6667 0.3333 0.8333  2 Cl 2.29

Values from the calculation:
* magnetic moment: 1.60 μB/f.u.
* energy relative to the elements, uncorrected: -0.228 eV per atom
* E above lowest polymorph: 775 meV per atom
* space-group type: R-3m

---

| no. | calculated volume (Å³/f.u.) |
| --- | --- |
| 1 | 103 |
| 2 | 48 |
| 3 | 77 |
| 4 | 118 |
| 5 | 149 |
| 6 | 121 |
| 7 | 107 |
| 8 | 72 |
| 9 | 109 |
| 10 | 99 |
| 11 | 156 |
| 12 | 76 |